1.
Here is a geometry-optimized Ac2TcPtO8 structure from Alexandria. Energies are from PBE.

Structure (POSCAR):
```
Ac2TcPtO8
1.0
4.525 -0.254 0.108
-0.235 5.322 -0.245
0.128 -0.388 7.318
Ac Tc Pt O
2 1 1 8
Cartesian
3.101 2.111 5.454
1.317 2.569 1.727
0.000 0.000 0.000
0.064 -0.194 3.659
0.641 5.131 1.574
2.921 3.940 0.344
3.630 1.255 0.789
3.777 -0.452 5.607
1.497 0.739 6.837
0.788 3.425 6.392
3.458 3.169 3.142
0.960 1.511 4.039
```

Calculated values
* magnetization: 0.086 μB per atom
* raw total energy: -0.53936 Ry/atom
* uncorrected formation energy: -2294 kJ/mol of formula units
* space group: P-1, No. 2

2.
Here is a geometry-optimized Y4AlRh structure from Alexandria. Energies are from PBE.

Structure (POSCAR):
```
Y4AlRh
1.0
-1.244 -4.516 -3.805
-5.006 -3.285 0.750
-4.565 0.521 -3.911
Y Al Rh
4 1 1
Cartesian
-4.675 -4.993 -4.518
-6.342 -2.465 -4.572
-6.563 -4.375 -2.232
-4.051 -2.727 -2.609
-8.111 -5.460 -5.224
0.000 0.000 0.000
```

Calculated values
* E_form: 492 meV/atom
* offset from the most stable computed form: 1.007 eV per atom
* magnetization: 0.000 μB per atom
* raw total energy: -0.41650 Ry/atom
* space group: F-43m, No. 216

3.
Here is a geometry-optimized Re2NiHRh structure from Alexandria. Energies are from PBE.

Structure (POSCAR):
```
Re2NiHRh
1.0
-1.109 -1.413 -3.383
-3.344 -1.060 1.539
-1.524 3.446 -0.939
Re Rh H Ni
2 1 1 1
Cartesian
-1.672 -0.530 0.769
-0.555 -0.706 -1.692
-2.989 0.487 -1.392
0.000 0.000 0.000
-0.762 1.723 -0.470
```

Calculated values
* magnetization: 0.001 μB per atom
* raw total energy: -0.59509 Ry/atom
* space group: P4/mmm, No. 123

4.
Here is a geometry-optimized Tb2PmTlN structure from Alexandria. Energies are from PBE.

Structure (POSCAR):
```
Tb2PmTlN
1.0
4.983 0.000 0.000
0.000 4.860 0.000
0.000 0.000 4.860
Tb Pm Tl N
2 1 1 1
Cartesian
0.000 0.000 2.430
0.000 2.430 0.000
2.491 0.000 0.000
2.491 2.430 2.430
0.000 0.000 0.000
```

Calculated values
* magnetization: 0.000 μB per atom
* raw total energy: -0.42911 Ry/atom
* uncorrected formation energy: -433 kJ/mol of formula units
* space group: P4/mmm, No. 123

5.
Here is a geometry-optimized Rb2Sn6Hg3 structure from Alexandria. Energies are from PBE.

Structure (POSCAR):
```
Rb2Sn6Hg3
1.0
5.084 0.000 0.000
0.000 7.840 -4.527
0.000 0.000 9.053
Rb Sn Hg
2 6 3
Cartesian
0.000 5.227 0.000
0.000 2.613 4.527
2.542 5.837 3.370
2.542 0.000 2.313
0.000 1.545 0.892
0.000 6.295 -3.635
2.542 2.003 -1.157
0.000 0.000 7.269
2.542 3.204 1.850
2.542 4.636 -2.677
2.542 0.000 5.353
```

Calculated values
* E_form: -113 meV/atom
* magnetization: 0.000 μB per atom
* raw total energy: -0.18776 Ry/atom
* space group: P-62m, No. 189

6.
Here is a geometry-optimized RbNaSbAu structure from Alexandria. Energies are from PBE.

Structure (POSCAR):
```
RbNaSbAu
1.0
-3.765 3.005 1.435
0.464 -1.854 5.101
3.311 4.841 -1.450
Rb Na Sb Au
1 1 1 1
Cartesian
-0.416 3.122 1.173
3.210 2.362 3.476
0.871 -0.221 2.749
-1.577 0.657 3.291
```

Calculated values
* magnetization: 0.000 μB per atom
* raw total energy: -0.20672 Ry/atom
* uncorrected formation energy: -151 kJ/mol of formula units
* space group: Amm2, No. 38

7.
Here is a geometry-optimized RbSrMg2 structure from Alexandria. Energies are from PBE.

Structure (POSCAR):
```
RbSrMg2
1.0
1.239 1.677 5.814
1.493 5.857 1.274
-3.961 3.595 3.088
Sr Mg Rb
1 2 1
Cartesian
-0.615 5.564 5.088
-0.307 2.782 2.544
-0.922 8.346 7.632
0.000 0.000 0.000
```

Calculated values
* E_form: 207 meV/atom
* offset from the most stable computed form: 0.000 eV per atom
* magnetization: 0.000 μB per atom
* raw total energy: -0.09204 Ry/atom
* space group: Fm-3m, No. 225

8.
Here is a geometry-optimized NiB4 structure from Alexandria. Energies are from PBE.

Structure (POSCAR):
```
NiB4
1.0
-0.787 -0.044 -2.843
3.938 -0.945 0.466
-2.612 -3.218 0.766
Ni B
1 4
Cartesian
1.000 -2.328 -1.744
0.399 -3.351 -0.032
-0.190 -1.797 0.103
-0.970 -0.935 -1.225
2.821 -1.064 -2.262
```

Calculated values
* E_form: 116 meV/atom
* magnetization: 0.000 μB per atom
* raw total energy: -0.46907 Ry/atom
* space group: P1, No. 1

9.
Here is a geometry-optimized LiHg2Rh structure from Alexandria. Energies are from PBE.

Structure (POSCAR):
```
LiHg2Rh
1.0
3.165 0.000 0.000
0.000 4.064 0.000
0.000 0.000 5.680
Hg Li Rh
2 1 1
Cartesian
0.000 0.000 5.429
1.582 2.032 1.584
0.000 0.000 2.864
1.582 2.032 4.323
```

Calculated values
* E_form: -68 meV/atom
* magnetization: 0.000 μB per atom
* raw total energy: -0.18634 Ry/atom
* space group: Pmm2, No. 25

10.
Here is a geometry-optimized Fe2TeMo structure from Alexandria. Energies are from PBE.

Structure (POSCAR):
```
Fe2TeMo
1.0
-1.193 -4.325 2.465
3.811 -3.357 0.641
-1.415 4.823 0.967
Fe Mo Te
2 1 1
Cartesian
2.613 -7.668 3.100
1.314 -3.855 1.558
1.852 -1.187 1.580
-0.649 -1.671 2.492
```

Calculated values
* offset from the most stable computed form: 0.109 eV per atom
* magnetization: 1.088 μB per atom
* raw total energy: -0.53473 Ry/atom
* uncorrected formation energy: 173 kJ/mol of formula units
* space group: Immm, No. 71

11.
Here is a geometry-optimized Zr5Hg4Au structure from Alexandria. Energies are from PBE.

Structure (POSCAR):
```
Zr5Hg4Au
1.0
3.468 0.000 0.000
0.000 3.468 0.000
0.000 0.000 17.918
Zr Hg Au
5 4 1
Cartesian
1.734 1.734 1.700
1.734 1.734 5.338
1.734 1.734 8.959
1.734 1.734 12.581
1.734 1.734 16.218
0.000 0.000 3.529
0.000 0.000 7.154
0.000 0.000 10.764
0.000 0.000 14.389
0.000 0.000 0.000
```

Calculated values
* E_form: -198 meV/atom
* magnetization: 0.000 μB per atom
* raw total energy: -0.36163 Ry/atom
* space group: P4/mmm, No. 123

12.
Here is a geometry-optimized Pr6Rh3Cl2 structure from Alexandria. Energies are from PBE.

Structure (POSCAR):
```
Pr6Rh3Cl2
1.0
6.888 0.000 2.053
3.444 6.229 1.027
0.214 0.000 7.678
Pr Rh Cl
6 3 2
Cartesian
5.270 4.175 7.550
5.223 0.000 7.562
1.826 2.054 6.523
1.879 0.000 2.170
5.277 2.054 3.208
8.721 4.175 4.235
0.000 0.000 0.000
3.444 2.125 1.027
6.888 4.104 2.053
3.551 4.157 4.866
6.996 2.072 5.892
```

Calculated values
* magnetization: 0.000 μB per atom
* raw total energy: -0.43296 Ry/atom
* uncorrected formation energy: -1001 kJ/mol of formula units
* space group: C2/m, No. 12

13.
Here is a geometry-optimized La2Co3 structure from Alexandria. Energies are from PBE.

Structure (POSCAR):
```
La2Co3
1.0
-3.409 1.154 1.965
2.917 -2.076 2.000
3.501 6.879 2.034
Co La
3 2
Cartesian
0.000 0.000 0.000
2.056 6.672 3.927
0.953 -0.714 2.073
-0.304 2.034 2.556
3.313 3.923 3.444
```

Calculated values
* E_form: -51 meV/atom
* magnetization: 0.642 μB per atom
* raw total energy: -0.46199 Ry/atom
* space group: P-3m1, No. 164